DFT (PBE) results for a relaxed structure of Nb3AlPt.

## Properties
E_form in eV/atom: 0.9666
Relative energy among the computed polymorphs in eV per atom: 0.000
Magnetic moment in Bohr magnetons per cell: 0.00

```
data_Nb3AlPt
_chemical_formula_sum 'Nb3 Al1 Pt1'
_space_group_name_H-M_alt 'P m -3 m'
_space_group_IT_number 221
_space_group_name_Hall '-P 4 2 3'
_cell_length_a 4.8880
_cell_length_b 4.8880
_cell_length_c 4.8880
_cell_angle_alpha 90.00
_cell_angle_beta 90.00
_cell_angle_gamma 90.00
loop_
_atom_site_label
_atom_site_type_symbol
_atom_site_fract_x
_atom_site_fract_y
_atom_site_fract_z
Nb1 Nb 0.0000 0.0000 0.5000
Al1 Al 0.5000 0.5000 0.5000
Pt1 Pt 0.0000 0.0000 0.0000
```

=====

DFT (PBE) results for a relaxed structure of Tb12Pr6Dy.

## Properties
E_form in eV/atom: 0.4621
Relative energy among the computed polymorphs in eV per atom: 0.250
Magnetic moment in Bohr magnetons per cell: 3.67

```
data_Tb12Pr6Dy
_chemical_formula_sum 'Tb36 Pr18 Dy3'
_space_group_name_H-M_alt 'R -3 m'
_space_group_IT_number 166
_space_group_name_Hall '-R 3 2"'
_cell_length_a 13.6954
_cell_length_b 13.6954
_cell_length_c 12.4825
_cell_angle_alpha 90.00
_cell_angle_beta 90.00
_cell_angle_gamma 120.00
loop_
_atom_site_label
_atom_site_type_symbol
_atom_site_fract_x
_atom_site_fract_y
_atom_site_fract_z
Tb1 Tb 0.0000 0.3852 0.0000
Tb2 Tb 0.0941 0.1883 0.8564
Pr1 Pr 0.0149 0.5074 0.2264
Dy1 Dy 0.0000 0.0000 0.5000
```